# 1
A relaxed Er2Ag2Pd7 crystal. Source: Alexandria, functional GGA-PBE.

Values from the calculation:
**N(E_F)**: 0.344 states/eV per atom
**Energy of formation**: -0.501 eV/atom
**Size of the total moment**: 0.000 μB per formula unit

a b c (Å): 6.5620 5.2388 6.5620
angles (deg): 108.64 88.72 71.36
With the nearest neighbours (Å) after each atom.
Fractional coordinates of all 11 atoms:
Pd  0.4164  0.8235  0.0729  6 Pd 2.70-3.02, 2 Er 2.76-2.83, 1 Ag 2.80
Er  0.1941  0.5000  0.1941  6 Pd 2.76-2.97
Pd  0.7361  0.5341  0.2639  5 Pd 2.74-2.84, 3 Ag 2.76-2.95, 2 Er 2.97
Pd  0.5836  0.1765  0.9271  6 Pd 2.70-3.02, 2 Er 2.76-2.83, 1 Ag 2.80
Ag  0.3764  0.8719  0.6236  7 Pd 2.76-3.05
Er  0.8059  0.5000  0.8059  6 Pd 2.76-2.97
Pd  0.0000  0.0000  0.0000  6 Pd 2.70-2.74
Ag  0.6236  0.1281  0.3764  7 Pd 2.76-3.05
Pd  0.9271  0.8235  0.5836  6 Pd 2.70-3.02, 2 Er 2.76-2.83, 1 Ag 2.80
Pd  0.0729  0.1765  0.4164  6 Pd 2.70-3.02, 2 Er 2.76-2.83, 1 Ag 2.80
Pd  0.2639  0.4659  0.7361  5 Pd 2.74-2.84, 3 Ag 2.76-2.95, 2 Er 2.97


# 2
A relaxed PrSn2Pt6 crystal. Source: Alexandria, functional GGA-PBE.

Values from the calculation:
**N(E_F)**: 0.713 states/eV per atom
**Energy of formation**: -0.369 eV/atom
**Size of the total moment**: 0.000 μB per formula unit

a b c (Å): 3.5679 7.6820 7.6820
angles (deg): 64.64 76.57 76.57
With the nearest neighbours (Å) after each atom.
Fractional coordinates of all 9 atoms:
Sn  0.1342  0.3658  0.3658  6 Pt 2.67-2.81
Pt  0.5000  0.6672  0.3328  3 Pt 2.65-2.75, 4 Sn 2.81
Pt  0.6807  0.9827  0.6559  4 Pt 2.65-2.86, 1 Sn 2.67
Pt  0.5000  0.3328  0.6672  3 Pt 2.65-2.75, 4 Sn 2.81
Pt  0.6807  0.6559  0.9827  4 Pt 2.65-2.86, 1 Sn 2.67
Pt  0.3193  0.3441  0.0173  4 Pt 2.65-2.86, 1 Sn 2.67
Sn  0.8658  0.6342  0.6342  6 Pt 2.67-2.81
Pt  0.3193  0.0173  0.3441  4 Pt 2.65-2.86, 1 Sn 2.67
Pr  0.0000  0.0000  0.0000  12 Pt 3.17-3.26


# 3
A relaxed Cd2TcW crystal. Source: Alexandria, functional GGA-PBE.

Values from the calculation:
**N(E_F)**: 0.952 states/eV per atom
**Energy of formation**: 0.639 eV/atom
**Size of the total moment**: 0.001 μB per formula unit

a b c (Å): 4.6496 3.8819 3.8819
angles (deg): 90.00 90.00 90.00
With the nearest neighbours (Å) after each atom.
Fractional coordinates of all 4 atoms:
Cd  0.0000  0.5000  0.5000  4 Cd 2.74, 4 W 3.03, 4 Tc 3.03
W  0.5000  0.0000  0.5000  4 Tc 2.74, 8 Cd 3.03
Tc  0.5000  0.5000  0.0000  4 W 2.74, 8 Cd 3.03
Cd  0.0000  0.0000  0.0000  4 Cd 2.74, 4 W 3.03, 4 Tc 3.03


# 4
A relaxed Hf2NbTcH crystal. Source: Alexandria, functional GGA-PBE.

Values from the calculation:
**N(E_F)**: 1.408 states/eV per atom
**Size of the total moment**: 0.001 μB per formula unit
**Uncorrected energy**: -8.91 eV/atom

a b c (Å): 4.7252 4.7252 3.4670
angles (deg): 90.00 90.00 90.00
With the nearest neighbours (Å) after each atom.
Fractional coordinates of all 5 atoms:
Tc  0.0000  0.0000  0.5000  2 H 1.73
Hf  0.5000  0.0000  0.0000  2 H 2.36
H  0.0000  0.0000  0.0000  2 Tc 1.73
Nb  0.5000  0.5000  0.5000  8 Hf 2.93
Hf  0.0000  0.5000  0.0000  2 H 2.36